Entry 1:
Compound: LiCaGeAu
Source: Alexandria
Functional: PBE
Structure: optimized geometry

Values from the calculation:
For the density of states at the Fermi level, the calculation gives 0.703 states/eV/f.u. For the energy relative to the lowest polymorph listed for this composition, the calculation gives 24 meV per atom. The size of the total moment is 0.00 μB/f.u. For the formation energy, the calculation gives -48.67 kJ per mole of atoms.

a b c (Å): 6.729 6.729 6.729
angles (deg): 90.00 90.00 90.00
Space group F-43m (No. 216)
Inequivalent atoms, fractional coordinates:
Li (0.000, 0.000, 0.000) [4 per cell]
Ca (0.250, 0.250, 0.250) [4 per cell]
Ge (0.250, 0.250, 0.750) [4 per cell]
Au (0.000, 0.000, 0.500) [4 per cell]



Entry 2:
Compound: LiCaGe2Au2
Source: Alexandria
Functional: PBE
Structure: optimized geometry

Values from the calculation:
For the density of states at the Fermi level, the calculation gives 1.665 states/eV/f.u. The size of the total moment is 0.00 μB/f.u. For the formation energy, the calculation gives -51.89 kJ per mole of atoms.

a b c (Å): 4.4562 4.4562 6.9126
angles (deg): 90.00 90.00 120.00
Space group P-3m1 (No. 164)
Inequivalent atoms, fractional coordinates:
Li (0.0000, 0.0000, 0.0000) [1 per cell]
Ca (0.0000, 0.0000, 0.5000) [1 per cell]
Ge (0.3333, 0.6667, 0.2122) [2 per cell]
Au (0.3333, 0.6667, 0.8001) [2 per cell]



Entry 3:
Compound: LiCaGeAu
Source: Alexandria
Functional: PBE
Structure: optimized geometry

Values from the calculation:
For the density of states at the Fermi level, the calculation gives 1.771 states/eV/f.u. For the energy relative to the lowest polymorph listed for this composition, the calculation gives 0 meV per atom. The size of the total moment is 0.00 μB/f.u. For the formation energy, the calculation gives -51.00 kJ per mole of atoms.

a b c (Å): 7.822 4.512 5.429
angles (deg): 90.00 118.57 90.00
Space group Cm (No. 8)
Inequivalent atoms, fractional coordinates:
Li (0.000, 0.000, 0.000) [2 per cell]
Ca (0.200, 0.000, 0.602) [2 per cell]
Ge (0.416, 0.000, 0.248) [2 per cell]
Au (0.225, 0.500, 0.174) [2 per cell]



Entry 4:
Compound: Li2CaGe2Au2
Source: Alexandria
Functional: PBE
Structure: optimized geometry

Values from the calculation:
For the density of states at the Fermi level, the calculation gives 2.389 states/eV/f.u. The size of the total moment is 0.00 μB/f.u. For the formation energy, the calculation gives -52.96 kJ per mole of atoms.

a b c (Å): 4.4953 4.4953 22.7214
angles (deg): 90.00 90.00 120.00
Space group R-3m (No. 166, hexagonal axes)
Inequivalent atoms, fractional coordinates:
Li (0.0000, 0.0000, 0.1367) [6 per cell]
Ca (0.0000, 0.0000, 0.0000) [3 per cell]
Ge (0.0000, 0.0000, 0.4294) [6 per cell]
Au (0.0000, 0.0000, 0.2521) [6 per cell]



Entry 5:
Compound: Ca2MgGe3Au12
Source: Alexandria
Functional: PBE
Structure: optimized geometry

Values from the calculation:
For the density of states at the Fermi level, the calculation gives 4.996 states/eV/f.u. The size of the total moment is 0.00 μB/f.u. For the formation energy, the calculation gives -10.53 kJ per mole of atoms.

a b c (Å): 9.3949 9.3949 16.4584
angles (deg): 90.00 90.00 120.00
Space group R-3m (No. 166, hexagonal axes)
Inequivalent atoms, fractional coordinates:
Ca (0.0000, 0.0000, 0.1069) [6 per cell]
Mg (0.0000, 0.0000, 0.5000) [3 per cell]
Ge (0.0000, 0.5000, 0.0000) [9 per cell]
Au (0.0051, 0.5026, 0.8466) [18 per cell]
Au (0.0130, 0.5065, 0.3283) [18 per cell]



Entry 6:
Compound: CaMgGe2Au5
Source: Alexandria
Functional: PBE
Structure: optimized geometry

Values from the calculation:
For the density of states at the Fermi level, the calculation gives 3.172 states/eV/f.u. The size of the total moment is 0.00 μB/f.u. For the formation energy, the calculation gives -26.07 kJ per mole of atoms.

a b c (Å): 4.751 4.751 8.287
angles (deg): 90.00 90.00 90.00
Space group P4/mmm (No. 123)
Inequivalent atoms, fractional coordinates:
Ca (0.000, 0.000, 0.000) [1 per cell]
Mg (0.000, 0.000, 0.500) [1 per cell]
Ge (0.500, 0.500, 0.351) [2 per cell]
Au (0.000, 0.500, 0.240) [4 per cell]
Au (0.500, 0.500, 0.000) [1 per cell]